Entry 1:
Density functional theory data (GGA-PBEsol) for a relaxed Ca3In crystal.

Lattice parameters (Å, degrees): 3.7784 3.7784 9.4825 90.00 90.00 90.00
Element x y z (fractional)
Ca  0.5000  0.5000  0.5000
Ca  0.0000  0.0000  0.1995
Ca  0.0000  0.0000  0.8005
In  0.5000  0.5000  0.0000

## Properties
Energy (eV per atom): -2.6065

Entry 2:
Density functional theory data (GGA-PBEsol) for a relaxed Ca2In crystal.

Lattice parameters (Å, degrees): 5.4867 5.4891 6.9707 90.00 90.00 119.99
Element x y z (fractional)
Ca  0.0000  0.0000  0.0000
Ca  0.0000  0.0000  0.5000
Ca  0.3334  0.6667  0.2500
Ca  0.6666  0.3333  0.7500
In  0.6667  0.3334  0.2500
In  0.3333  0.6666  0.7500

## Properties
Energy (eV per atom): -2.7917

Entry 3:
Density functional theory data (GGA-PBEsol) for a relaxed Ca3In crystal.

Lattice parameters (Å, degrees): 6.1810 9.0207 9.8838 90.00 90.00 90.00
Element x y z (fractional)
In  0.5571  0.8710  0.7500
In  0.4429  0.1290  0.2500
In  0.9429  0.3710  0.7500
In  0.0571  0.6290  0.2500
Ca  0.0831  0.0249  0.7500
Ca  0.1069  0.3289  0.4366
Ca  0.3931  0.8289  0.0634
Ca  0.6069  0.1711  0.5634
Ca  0.5831  0.4751  0.2500
Ca  0.8931  0.6711  0.9366
Ca  0.8931  0.6711  0.5634
Ca  0.9169  0.9751  0.2500
Ca  0.6069  0.1711  0.9366
Ca  0.1069  0.3289  0.0634
Ca  0.3931  0.8289  0.4366
Ca  0.4169  0.5249  0.7500

## Properties
Energy (eV per atom): -2.6275

Entry 4:
Density functional theory data (GGA-PBEsol) for a relaxed Ca8In3 crystal.

Lattice parameters (Å, degrees): 9.4472 9.5142 9.5950 98.98 101.08 119.71
Element x y z (fractional)
Ca  0.3756  0.8191  0.4407
Ca  0.8735  0.5850  0.4059
Ca  0.2577  0.6499  0.0034
Ca  0.6692  0.7594  0.2232
Ca  0.6343  0.3811  0.9987
Ca  0.8699  0.5831  0.7606
Ca  0.0383  0.3793  0.2243
Ca  0.4567  0.4807  0.4655
Ca  0.5642  0.7266  0.8144
Ca  0.8028  0.1773  0.4625
Ca  0.2968  0.9412  0.7824
Ca  0.0034  0.0010  0.9999
Ca  0.7986  0.1749  0.8170
Ca  0.2157  0.2796  0.7577
Ca  0.1083  0.0335  0.4089
Ca  0.4150  0.1107  0.2199
In  0.5097  0.2186  0.6117
In  0.3363  0.3802  0.1116
In  0.0123  0.7191  0.1371
In  0.6604  0.0415  0.0862
In  0.8362  0.8800  0.6115
In  0.1629  0.5419  0.6115

## Properties
Energy (eV per atom): -2.7283

Entry 5:
Density functional theory data (GGA-PBEsol) for a relaxed CaIn2 crystal.

Lattice parameters (Å, degrees): 4.8622 4.8622 7.5964 90.00 90.00 120.00
Element x y z (fractional)
In  0.6667  0.3333  0.9529
In  0.3333  0.6667  0.0471
In  0.3333  0.6667  0.4529
In  0.6667  0.3333  0.5471
Ca  0.0000  0.0000  0.2500
Ca  0.0000  0.0000  0.7500

## Properties
Energy (eV per atom): -3.1950

Entry 6:
Density functional theory data (GGA-PBEsol) for a relaxed CaIn5 crystal.

Lattice parameters (Å, degrees): 4.5421 4.8548 7.2294 70.38 90.00 90.00
Element x y z (fractional)
In  0.5000  0.0000  0.0000
In  0.0000  0.1715  0.6571
In  0.5000  0.6708  0.6585
In  0.0000  0.8285  0.3429
In  0.5000  0.3292  0.3415
Ca  0.0000  0.5000  0.0000

## Properties
E above lowest polymorph (meV/atom): 7.0
Energy (eV per atom): -3.0704

Entry 7:
Density functional theory data (GGA-PBEsol) for a relaxed Ca3In crystal.

Lattice parameters (Å, degrees): 3.8855 5.7484 6.9157 114.56 106.32 90.00
Element x y z (fractional)
Ca  0.2867  0.3695  0.5733
Ca  0.7133  0.7962  0.4267
Ca  0.5000  0.0836  0.0000
In  0.0000  0.5840  0.0000

## Properties
Energy (eV per atom): -2.5681

Entry 8:
Density functional theory data (GGA-PBEsol) for a relaxed Ca2In3 crystal.

Lattice parameters (Å, degrees): 5.1612 5.1612 6.4401 90.00 90.00 120.00
Element x y z (fractional)
In  0.3333  0.6667  0.3524
In  0.6667  0.3333  0.6476
In  0.0000  0.0000  0.0000
Ca  0.6667  0.3333  0.1649
Ca  0.3333  0.6667  0.8351

## Properties
Energy (eV per atom): -2.8462

Entry 9:
Density functional theory data (GGA-PBEsol) for a relaxed Ca2In crystal.

Lattice parameters (Å, degrees): 5.2995 7.0700 9.8238 90.00 90.00 90.00
Element x y z (fractional)
Ca  0.2500  0.6756  0.4332
Ca  0.2500  0.0350  0.7041
Ca  0.7500  0.4650  0.2041
Ca  0.2500  0.5350  0.7959
Ca  0.7500  0.3244  0.5668
Ca  0.2500  0.1756  0.0668
Ca  0.7500  0.8244  0.9332
Ca  0.7500  0.9650  0.2959
In  0.2500  0.2203  0.3900
In  0.2500  0.7203  0.1100
In  0.7500  0.7797  0.6100
In  0.7500  0.2797  0.8900

## Properties
Energy (eV per atom): -2.8161

Entry 10:
Density functional theory data (GGA-PBEsol) for a relaxed CaIn2 crystal.

Lattice parameters (Å, degrees): 5.3067 5.3067 7.7567 90.00 90.00 120.00
Element x y z (fractional)
In  0.6667  0.3333  0.5587
In  0.3333  0.6667  0.4413
In  0.6667  0.3333  0.9413
In  0.3333  0.6667  0.0587
Ca  0.0000  0.0000  0.0000
Ca  0.0000  0.0000  0.5000

## Properties
Energy (eV per atom): -2.7234

Entry 11:
Density functional theory data (GGA-PBEsol) for a relaxed CaIn5 crystal.

Lattice parameters (Å, degrees): 5.0882 6.1599 6.4773 121.73 90.00 114.39
Element x y z (fractional)
Ca  0.0284  0.0569  0.0562
In  0.0267  0.0534  0.5545
In  0.6947  0.3894  0.4734
In  0.6937  0.3874  0.9661
In  0.3611  0.7221  0.6388
In  0.3621  0.7241  0.1444

## Properties
E above lowest polymorph (meV/atom): 0.0
Energy (eV per atom): -3.0774

Entry 12:
Density functional theory data (GGA-PBEsol) for a relaxed Ca3In crystal.

Lattice parameters (Å, degrees): 5.5966 5.5966 5.5966 60.00 60.00 60.00
Element x y z (fractional)
Ca  0.2500  0.2500  0.2500
Ca  0.5000  0.5000  0.5000
Ca  0.7500  0.7500  0.7500
In  0.0000  0.0000  0.0000

## Properties
Energy (eV per atom): -2.5937

Entry 13:
Density functional theory data (GGA-PBEsol) for a relaxed CaIn2Ir crystal.

Lattice parameters (Å, degrees): 3.2663 3.2663 7.8445 90.00 90.00 90.00
Element x y z (fractional)
In  0.0000  0.0000  0.2029
In  0.0000  0.0000  0.7971
Ca  0.5000  0.5000  0.5000
Ir  0.5000  0.5000  0.0000

## Properties
Energy (eV per atom): -4.7253

Entry 14:
Density functional theory data (GGA-PBEsol) for a relaxed CaIn2Ir crystal.

Lattice parameters (Å, degrees): 5.6692 7.7954 15.8031 90.00 90.00 90.00
Element x y z (fractional)
Ca  0.4602  0.2500  0.1386
Ca  0.7547  0.2500  0.8972
Ca  0.2453  0.7500  0.1028
Ca  0.7453  0.2500  0.3972
Ca  0.9602  0.7500  0.3614
Ca  0.5398  0.7500  0.8614
Ca  0.2547  0.7500  0.6028
Ca  0.0398  0.2500  0.6386
In  0.2515  0.0533  0.9613
In  0.2485  0.0533  0.4613
In  0.7515  0.9467  0.5387
In  0.7485  0.5533  0.0387
In  0.9653  0.4500  0.2124
In  0.4653  0.9500  0.2876
In  0.4653  0.5500  0.2876
In  0.0347  0.9500  0.7876
In  0.2515  0.4467  0.9613
In  0.2485  0.4467  0.4613
In  0.0347  0.5500  0.7876
In  0.5347  0.4500  0.7124
In  0.7515  0.5533  0.5387
In  0.7485  0.9467  0.0387
In  0.9653  0.0500  0.2124
In  0.5347  0.0500  0.7124
Ir  0.5196  0.2500  0.5702
Ir  0.7318  0.7500  0.1850
Ir  0.0196  0.7500  0.9298
Ir  0.7682  0.7500  0.6850
Ir  0.4804  0.7500  0.4298
Ir  0.2318  0.2500  0.3150
Ir  0.9804  0.2500  0.0702
Ir  0.2682  0.2500  0.8150

## Properties
Energy (eV per atom): -4.9406

Entry 15:
Density functional theory data (GGA-PBEsol) for a relaxed CaIn2Ir crystal.

Lattice parameters (Å, degrees): 3.1287 5.3246 5.3246 114.07 90.00 90.00
Element x y z (fractional)
Ir  0.5000  0.0000  0.0000
Ca  0.5000  0.5000  0.5000
In  0.0000  0.0000  0.5000
In  0.0000  0.5000  0.0000

## Properties
Energy (eV per atom): -4.4399

Entry 16:
Density functional theory data (GGA-PBEsol) for a relaxed CaIn4Ir crystal.

Lattice parameters (Å, degrees): 4.2119 7.4196 8.6486 90.00 90.00 90.00
Element x y z (fractional)
In  0.5000  0.3155  0.9361
In  0.0000  0.0000  0.5000
In  0.5000  0.6845  0.4361
In  0.5000  0.0683  0.2500
In  0.0000  0.0000  0.0000
In  0.5000  0.3155  0.5639
In  0.5000  0.6845  0.0639
In  0.5000  0.9317  0.7500
Ca  0.0000  0.5991  0.7500
Ca  0.0000  0.4009  0.2500
Ir  0.0000  0.8046  0.2500
Ir  0.0000  0.1954  0.7500

## Properties
Energy (eV per atom): -4.3600

Entry 17:
Density functional theory data (GGA-PBEsol) for a relaxed CaInReIr2 crystal.

Lattice parameters (Å, degrees): 4.7136 4.7136 5.2722 90.00 90.00 90.00
Element x y z (fractional)
Ir  0.0000  0.5000  0.0000
Ir  0.5000  0.0000  0.0000
In  0.5000  0.5000  0.5000
Re  0.0000  0.0000  0.0000
Ca  0.0000  0.0000  0.5000

## Properties
Energy (eV per atom): -6.5630

Entry 18:
Density functional theory data (GGA-PBEsol) for a relaxed K2CaIn crystal.

Lattice parameters (Å, degrees): 3.8095 3.8095 11.8252 90.00 90.00 90.39
Element x y z (fractional)
K  0.0000  0.0000  0.2091
K  0.0000  0.0000  0.7909
In  0.5000  0.5000  0.0000
Ca  0.5000  0.5000  0.5000

## Properties
Energy (eV per atom): -1.6896

Entry 19:
Density functional theory data (GGA-PBEsol) for a relaxed K2CaIn crystal.

Lattice parameters (Å, degrees): 4.0701 4.0701 10.7868 90.00 90.00 90.00
Element x y z (fractional)
Ca  0.0000  0.0000  0.5760
In  0.5000  0.5000  0.7081
K  0.0000  0.0000  0.9299
K  0.5000  0.5000  0.2859

## Properties
Energy (eV per atom): -1.9269

Entry 20:
Density functional theory data (GGA-PBEsol) for a relaxed KCaInSi2 crystal.

Lattice parameters (Å, degrees): 5.3381 5.3381 5.6575 90.00 90.00 90.00
Last column: magnetic moment on the atom in μB.
Element x y z (fractional)
Si  0.5000  0.0000  0.0000  0.07
Si  0.0000  0.5000  0.0000  0.07
In  0.5000  0.5000  0.5000  0.00
K  0.0000  0.0000  0.5000  0.00
Ca  0.0000  0.0000  0.0000  0.09

## Properties
Formation energy without anion corrections (eV per formula unit): 4.5
Energy (eV per atom): -2.6538

Entry 21:
Density functional theory data (GGA-PBEsol) for a relaxed Ca2LaIn crystal.

Lattice parameters (Å, degrees): 4.9131 4.9131 5.2373 90.00 90.00 90.00
Element x y z (fractional)
La  0.0000  0.0000  0.5000
In  0.5000  0.5000  0.5000
Ca  0.0000  0.5000  0.0000
Ca  0.5000  0.0000  0.0000

## Properties
Energy (eV per atom): -3.4052

Entry 22:
Density functional theory data (GGA-PBEsol) for a relaxed CaLa2In2 crystal.

Lattice parameters (Å, degrees): 4.3002 8.6225 8.6225 90.00 90.00 90.00
Element x y z (fractional)
La  0.5000  0.3266  0.1734
La  0.5000  0.1734  0.6734
La  0.5000  0.8266  0.3266
La  0.5000  0.6734  0.8266
In  0.0000  0.8766  0.6234
In  0.0000  0.6234  0.1234
In  0.0000  0.3766  0.8766
In  0.0000  0.1234  0.3766
Ca  0.0000  0.0000  0.0000
Ca  0.0000  0.5000  0.5000

## Properties
Energy (eV per atom): -4.1737

Entry 23:
Density functional theory data (GGA-PBEsol) for a relaxed LiCa2In crystal.

Lattice parameters (Å, degrees): 3.7375 5.4405 6.4652 114.88 106.80 90.00
Element x y z (fractional)
Ca  0.7763  0.2763  0.5526
Ca  0.9864  0.9864  0.9728
In  0.5244  0.5244  0.0489
Li  0.2129  0.7129  0.4257

## Properties
Energy (eV per atom): -2.5535

Entry 24:
Density functional theory data (GGA-PBEsol) for a relaxed Li2CaIn2 crystal.

Lattice parameters (Å, degrees): 3.2179 8.1850 8.1850 90.00 90.00 90.00
Element x y z (fractional)
In  0.5000  0.3223  0.1777
In  0.5000  0.6777  0.8223
In  0.5000  0.8223  0.3223
In  0.5000  0.1777  0.6777
Ca  0.0000  0.5000  0.5000
Ca  0.0000  0.0000  0.0000
Li  0.0000  0.6184  0.1184
Li  0.0000  0.3816  0.8816
Li  0.0000  0.8816  0.6184
Li  0.0000  0.1184  0.3816

## Properties
E above lowest polymorph (meV/atom): 0.0
Energy (eV per atom): -2.7297

Entry 25:
Density functional theory data (GGA-PBEsol) for a relaxed LiCa2In crystal.

Lattice parameters (Å, degrees): 3.8192 5.0996 6.2769 90.00 107.32 90.00
Element x y z (fractional)
Ca  0.0282  0.0000  0.9345
Ca  0.7284  0.5000  0.3282
Li  0.4342  0.5000  0.7477
In  0.3092  0.0000  0.4896

## Properties
Energy (eV per atom): -2.5629